(1)
Entry from Alexandria: a geometry-optimized KTaHSe2 structure (PBE).

```
KTaHSe2
1.0
5.4463 0.0000 0.0000
0.0000 5.4463 0.0000
0.0000 0.0000 3.4663
K Ta H Se
1 1 1 2
Cartesian
0.0000 0.0000 0.0000
2.7231 2.7231 1.7331
0.0000 0.0000 1.7331
0.0000 2.7231 0.0000
2.7231 0.0000 0.0000
```

The total energy is -3.497 eV/atom. Its space group is P4/mmm. As for the magnetization: 0.985 Bohr magnetons per cell.



(2)
Entry from Alexandria: a geometry-optimized K2TaHSe4 structure (PBE).

```
K2TaHSe4
1.0
-4.0451 4.9505 5.3055
4.0451 -4.9505 5.3055
4.0451 4.9505 -5.3055
K Ta H Se
4 2 2 8
Cartesian
0.0000 0.0000 0.0000
-2.0226 2.4752 2.6528
0.0000 4.9505 0.0000
2.0226 2.4752 2.6528
2.0226 2.4752 -2.6528
2.0226 -2.4752 2.6528
4.0451 0.0000 0.0000
0.0000 0.0000 5.3055
4.0451 -0.6031 1.9479
1.6898 2.4752 -0.2729
2.3553 -2.4752 5.0327
4.0451 4.3474 -1.9479
0.0000 0.6031 7.2534
1.6898 7.4257 0.2729
2.3553 2.4752 5.5784
0.0000 5.5536 3.3576
```

The total energy is -4.409 eV/atom. Its space group is Imma. As for the magnetization: 0.001 Bohr magnetons per cell.



(3)
Entry from Alexandria: a geometry-optimized K2ThH2Se4 structure (PBE).

```
K2ThH2Se4
1.0
8.1129 -2.1223 0.0000
8.1129 2.1223 0.0000
-3.1873 0.0000 7.3890
K Th H Se
2 1 2 4
Cartesian
1.8311 0.0000 0.7042
11.2073 0.0000 6.6847
-1.5936 0.0000 3.6945
1.9118 0.0000 4.0434
11.1267 0.0000 3.3455
1.0025 0.0000 5.2189
5.6174 0.0000 5.4682
7.4210 0.0000 1.9208
12.0360 0.0000 2.1701
```

The total energy is -4.376 eV/atom. Its space group is C2/m. As for the magnetization: 0.000 Bohr magnetons per cell.



(4)
Entry from Alexandria: a geometry-optimized KTiHSe2 structure (PBE).

```
KTiHSe2
1.0
7.1536 0.0000 0.0000
0.0000 3.6960 0.0000
-2.7851 0.0000 8.4789
K Ti H Se
2 2 2 4
Cartesian
0.3267 0.9240 2.5551
4.0418 2.7720 5.9237
0.1915 0.9240 7.0484
4.1770 2.7720 1.4305
-1.5142 0.9240 6.6078
5.8827 2.7720 1.8711
1.9691 2.7720 0.1410
0.5979 2.7720 5.3871
3.7706 0.9240 3.0918
2.3994 0.9240 8.3379
```

The total energy is -4.780 eV/atom. Its space group is P2_1/m. As for the magnetization: 0.000 Bohr magnetons per cell.



(5)
Entry from Alexandria: a geometry-optimized KUHSe3 structure (PBE).

```
KUHSe3
1.0
9.1752 0.0000 0.0000
0.0000 3.8865 0.0000
-2.0167 0.0000 9.3355
K U H Se
2 2 2 6
Cartesian
1.0632 0.9716 2.3512
6.0953 2.9149 6.9843
1.3366 2.9149 7.8886
5.8219 0.9716 1.4469
1.2352 0.9716 5.3307
5.9233 2.9149 4.0048
-0.5978 0.9716 8.2248
1.2114 2.9149 5.1390
3.7526 2.9149 1.4041
3.4059 0.9716 7.9314
5.9470 0.9716 4.1965
7.7563 2.9149 1.1107
```

The total energy is -5.191 eV/atom. Its space group is P2_1/m. As for the magnetization: 3.500 Bohr magnetons per cell.



(6)
Entry from Alexandria: a geometry-optimized K2UH2Se4 structure (PBE).

```
K2UH2Se4
1.0
8.7571 -1.9178 0.0000
8.7571 1.9178 0.0000
-3.1722 0.0000 6.8044
K U H Se
2 1 2 4
Cartesian
2.0954 0.0000 0.9519
12.2467 0.0000 5.8526
-1.5861 0.0000 3.4022
4.6639 0.0000 2.1739
9.6782 0.0000 4.6305
0.9738 0.0000 4.6554
6.2964 0.0000 5.1858
8.0457 0.0000 1.6187
13.3683 0.0000 2.1491
```

The total energy is -4.532 eV/atom. Its space group is C2/m. As for the magnetization: 1.500 Bohr magnetons per cell.



(7)
Entry from Alexandria: a geometry-optimized KYHSe2 structure (PBE).

```
KYHSe2
1.0
5.6462 0.0000 0.0000
0.0000 5.6462 0.0000
0.0000 0.0000 5.4102
K Y H Se
1 1 1 2
Cartesian
0.0000 0.0000 0.0000
0.0000 0.0000 2.7051
2.8231 2.8231 2.7051
0.0000 2.8231 0.0000
2.8231 0.0000 0.0000
```

The total energy is -2.485 eV/atom. Its space group is P4/mmm. As for the magnetization: 1.707 Bohr magnetons per cell.



(8)
Entry from Alexandria: a geometry-optimized KYH2Se structure (PBE).

```
KYH2Se
1.0
4.5113 0.0000 0.0000
0.0000 4.5113 0.0000
0.0000 0.0000 5.5270
K Y H Se
1 1 2 1
Cartesian
0.0000 0.0000 0.0000
2.2557 2.2557 2.7635
0.0000 2.2557 2.7635
2.2557 0.0000 2.7635
2.2557 2.2557 0.0000
```

The total energy is -4.385 eV/atom. Its space group is P4/mmm. As for the magnetization: 0.000 Bohr magnetons per cell.



(9)
Entry from Alexandria: a geometry-optimized KYHSe2 structure (PBE).

```
KYHSe2
1.0
5.5749 0.0000 0.0000
0.0000 5.5749 0.0000
0.0000 0.0000 4.3532
K Y H Se
1 1 1 2
Cartesian
0.0000 0.0000 0.0000
2.7874 2.7874 2.1766
2.7874 2.7874 0.0000
0.0000 2.7874 2.1766
2.7874 0.0000 2.1766
```

The total energy is -4.544 eV/atom. Its space group is P4/mmm. As for the magnetization: 0.000 Bohr magnetons per cell.



(10)
Entry from Alexandria: a geometry-optimized KSiH6 structure (PBE).

```
KSiH6
1.0
3.3889 1.9566 2.2243
-3.3889 1.9566 2.2243
0.0000 -3.9131 2.2243
K Si H
1 1 6
Cartesian
0.0000 0.0000 0.0000
0.0000 0.0000 3.3364
0.0000 -1.2908 2.4131
-1.1179 0.6454 2.4131
-1.1179 -0.6454 4.2597
1.1179 0.6454 2.4131
1.1179 -0.6454 4.2597
0.0000 1.2908 4.2597
```

The total energy is -3.177 eV/atom. Its space group is R-3m. As for the magnetization: 1.031 Bohr magnetons per cell.



(11)
Entry from Alexandria: a geometry-optimized KSiH structure (PBE).

```
KSiH
1.0
6.0903 -2.4120 0.0000
6.0903 2.4120 0.0000
-0.7303 0.0000 5.0819
K Si H
2 2 2
Cartesian
1.5255 0.0000 1.0129
9.9249 0.0000 4.0690
4.9487 0.0000 1.7210
6.5016 0.0000 3.3609
3.7289 0.0000 2.7140
7.7214 0.0000 2.3679
```

The total energy is -3.282 eV/atom. Its space group is C2/m. As for the magnetization: 0.000 Bohr magnetons per cell.



(12)
Entry from Alexandria: a geometry-optimized KSiH3 structure (PBE).

```
KSiH3
1.0
3.8976 0.0000 0.0000
0.0000 3.8976 0.0000
0.0000 0.0000 3.8976
K Si H
1 1 3
Cartesian
0.0000 0.0000 0.0000
1.9488 1.9488 1.9488
0.0000 1.9488 1.9488
1.9488 0.0000 1.9488
1.9488 1.9488 0.0000
```

The total energy is -3.180 eV/atom. Its space group is Pm-3m. As for the magnetization: 0.000 Bohr magnetons per cell.



(13)
Entry from Alexandria: a geometry-optimized KSiH6 structure (PBE).

```
KSiH6
1.0
3.9601 0.0000 0.0000
1.8882 4.3100 0.0000
1.9495 -0.5737 4.6612
K Si H
1 1 6
Cartesian
0.0000 0.0000 0.0000
1.9188 1.8681 2.3306
3.0841 2.9668 2.1905
2.0331 1.6214 0.7452
3.1191 0.8186 2.5693
4.6786 2.9177 2.0919
5.7646 2.1148 3.9160
4.7137 0.7695 2.4707
```

The total energy is -3.216 eV/atom. Its space group is P-1. As for the magnetization: 0.000 Bohr magnetons per cell.



(14)
Entry from Alexandria: a geometry-optimized K3SiH6 structure (PBE).

```
K3SiH6
1.0
0.0000 4.4001 5.2193
3.7099 0.0000 5.2193
3.7099 4.4001 0.0000
K Si H
3 1 6
Cartesian
0.0000 0.0000 0.0000
1.8550 2.2000 2.6097
5.5649 6.6001 7.8290
3.7099 4.4001 5.2193
4.8698 4.4001 4.0620
3.7099 2.7360 5.2193
4.8698 4.4001 6.3767
2.5501 4.4001 4.0620
3.7099 6.0641 5.2193
2.5501 4.4001 6.3767
```

The total energy is -2.945 eV/atom. Its space group is Fmmm. As for the magnetization: 0.000 Bohr magnetons per cell.



(15)
Entry from Alexandria: a geometry-optimized K2SiH4 structure (PBE).

```
K2SiH4
1.0
8.9623 0.0000 0.0000
0.0000 4.6791 0.0000
-2.2513 0.0000 8.6934
K Si H
4 2 8
Cartesian
-0.0495 1.1698 2.8810
2.2066 3.5094 5.8419
4.5045 1.1698 2.8515
6.7606 3.5094 5.8124
1.9658 3.5094 0.4237
4.7453 1.1698 8.2697
-0.8406 0.0294 8.3823
-0.8406 2.3102 8.3823
1.5701 3.5094 1.8885
3.4610 3.5094 0.3106
3.2501 1.1698 8.3828
5.1410 1.1698 6.8049
7.5517 2.3690 0.3111
7.5517 4.6497 0.3111
```

The total energy is -2.952 eV/atom. Its space group is P2_1/m. As for the magnetization: 0.000 Bohr magnetons per cell.



(16)
Entry from Alexandria: a geometry-optimized KSiH3 structure (PBE).

```
KSiH3
1.0
3.9838 -2.5842 0.0000
3.9838 2.5842 0.0000
-2.3471 0.0000 4.2637
K Si H
1 1 3
Cartesian
0.0000 0.0000 0.0000
2.7500 0.0000 2.0979
3.7661 1.1241 2.4038
2.2002 0.0000 3.5421
3.7661 -1.1241 2.4038
```

The total energy is -3.451 eV/atom. Its space group is Cm. As for the magnetization: 0.000 Bohr magnetons per cell.



(17)
Entry from Alexandria: a geometry-optimized KSi3H structure (PBE).

```
KSi3H
1.0
4.3468 0.0000 0.0000
0.0000 4.3468 0.0000
0.0000 0.0000 4.3468
K Si H
1 3 1
Cartesian
0.0000 0.0000 0.0000
0.0000 2.1734 2.1734
2.1734 0.0000 2.1734
2.1734 2.1734 0.0000
2.1734 2.1734 2.1734
```

The total energy is -3.360 eV/atom. Its space group is Pm-3m. As for the magnetization: 0.000 Bohr magnetons per cell.



(18)
Entry from Alexandria: a geometry-optimized K2SiH6 structure (PBE).

```
K2SiH6
1.0
5.0727 0.0000 0.0000
0.0000 5.0727 0.0000
0.0000 0.0000 10.2959
K Si H
4 2 12
Cartesian
0.0000 0.0000 1.6931
0.0000 0.0000 8.6028
2.5363 2.5363 3.4549
2.5363 2.5363 6.8410
0.0000 0.0000 5.1479
2.5363 2.5363 0.0000
0.7990 0.7990 3.9965
0.7990 0.7990 6.2994
1.1316 3.9411 5.1479
1.4047 1.4047 0.0000
1.7373 3.3353 1.1514
1.7373 3.3353 9.1444
3.3353 1.7373 1.1514
3.3353 1.7373 9.1444
3.6679 3.6679 0.0000
3.9411 1.1316 5.1479
4.2736 4.2736 3.9965
4.2736 4.2736 6.2994
```

The total energy is -3.194 eV/atom. Its space group is P4_2/mnm. As for the magnetization: 0.000 Bohr magnetons per cell.



(19)
Entry from Alexandria: a geometry-optimized KSiH2 structure (PBE).

```
KSiH2
1.0
0.0000 3.0891 3.0891
3.0891 0.0000 3.0891
3.0891 3.0891 0.0000
K Si H
1 1 2
Cartesian
0.0000 0.0000 0.0000
3.0891 3.0891 3.0891
1.5446 1.5446 1.5446
4.6337 4.6337 4.6337
```

The total energy is -2.475 eV/atom. Its space group is Fm-3m. As for the magnetization: 0.860 Bohr magnetons per cell.



(20)
Entry from Alexandria: a geometry-optimized K2SiH7 structure (PBE).

```
K2SiH7
1.0
5.6034 -4.2956 0.0000
5.6034 4.2956 0.0000
-4.3178 0.0000 6.7515
K Si H
4 2 14
Cartesian
0.2815 2.7661 5.4430
4.4487 2.7661 4.6843
2.4404 -2.7661 2.0672
6.6076 -2.7661 1.3086
4.5240 0.3677 1.6879
2.3651 -0.3677 5.0636
2.3651 4.0250 5.0636
-0.8277 0.3454 2.7022
-2.9866 -0.3454 6.0780
4.0500 1.2814 0.5829
3.0631 0.1192 2.2554
0.9042 -0.1192 5.6311
4.9979 1.2814 2.7929
1.8911 -1.2814 3.9586
5.9848 0.1192 1.1204
3.8259 -0.1192 4.4961
2.8390 -1.2814 6.1686
9.8756 0.3454 0.6736
7.7167 -0.3454 4.0493
4.5240 -4.0250 1.6879
```

The total energy is -3.081 eV/atom. Its space group is C2/c. As for the magnetization: 0.000 Bohr magnetons per cell.



(21)
Entry from Alexandria: a geometry-optimized KSi3H structure (PBE).

```
KSi3H
1.0
5.7165 0.0000 0.0000
0.0000 5.7165 0.0000
0.0000 0.0000 5.7165
K Si H
1 3 1
Cartesian
0.0000 0.0000 0.0000
0.0000 0.0000 2.8582
0.0000 2.8582 0.0000
2.8582 0.0000 0.0000
2.8582 2.8582 2.8582
```

The total energy is -1.646 eV/atom. Its space group is Pm-3m. As for the magnetization: 0.718 Bohr magnetons per cell.



(22)
Entry from Alexandria: a geometry-optimized KSiH structure (PBE).

```
KSiH
1.0
5.5535 0.0000 0.0000
-0.6619 5.5358 0.0000
-1.8668 -2.1101 4.8725
K Si H
2 2 2
Cartesian
0.0000 0.0000 0.0000
0.5785 0.6568 4.8627
0.4393 3.6392 2.6862
2.5922 -0.2225 2.1759
0.0890 3.2455 1.2136
2.9412 0.1725 3.6483
```

The total energy is -3.262 eV/atom. Its space group is P1. As for the magnetization: 0.000 Bohr magnetons per cell.



(23)
Entry from Alexandria: a geometry-optimized KSi2H6 structure (PBE).

```
KSi2H6
1.0
4.6141 -4.2057 0.0000
4.6141 4.2057 0.0000
-3.3710 0.0000 5.9095
K Si H
2 4 12
Cartesian
2.0858 2.7491 4.4321
3.7713 -2.7491 1.4774
2.6629 0.9141 0.9839
0.9774 -0.9141 3.9386
4.8797 0.9141 1.9708
3.1942 -0.9141 4.9256
-1.6650 1.1811 5.6423
1.8138 1.6765 1.9845
0.5454 0.5115 4.2988
0.0205 -1.1811 2.6876
2.2309 -0.5115 1.3441
5.7288 1.6765 0.9702
0.1283 -1.6765 4.9392
3.6263 0.5115 4.5654
5.8366 1.1811 3.2219
5.3118 -0.5115 1.6107
4.0433 -1.6765 3.9250
7.5221 -1.1811 0.2672
```

The total energy is -3.546 eV/atom. Its space group is C2/c. As for the magnetization: 0.000 Bohr magnetons per cell.